[1]
Entry from Alexandria: an optimized crystal structure of La3HoN4 (PBE-GGA).

It has space group P2/c (No. 13), with a = 6.365 Å, b = 7.381 Å, c = 6.365 Å, α = 90.00°, β = 109.29° and γ = 90.00°. The asymmetric unit holds La at (0.000, 0.122, 0.250), La at (0.000, 0.368, 0.750), La at (0.500, 0.368, 0.250), Ho at (0.500, 0.128, 0.750), N at (0.255, 0.353, 0.512) and N at (0.261, 0.129, 0.995).

The value obtained for the energy relative to the lowest polymorph listed for this composition is 0 meV/atom. The value obtained for the formation energy (no corrections) is -1070 kJ/mol of formula units. For the density of states at the Fermi level, the calculation gives 0.259 states/eV per cell.

[2]
Entry from Alexandria: an optimized crystal structure of Ce2DyZnN (PBE-GGA).

It has space group P4/mmm (No. 123), with a = 4.838 Å, b = 4.838 Å, c = 4.801 Å, α = 90.00°, β = 90.00° and γ = 90.00°. The asymmetric unit holds Ce at (0.000, 0.500, 0.000), Dy at (0.000, 0.000, 0.500), Zn at (0.500, 0.500, 0.500) and N at (0.000, 0.000, 0.000).

The value obtained for the formation energy (no corrections) is -317 kJ/mol of formula units. For the density of states at the Fermi level, the calculation gives 9.367 states/eV per cell.

[3]
Entry from Alexandria: an optimized crystal structure of Cs2RbSn2I7 (PBE-GGA).

It has space group C2/m (No. 12), with a = 8.858 Å, b = 8.859 Å, c = 16.439 Å, α = 90.00°, β = 105.51° and γ = 90.00°. The asymmetric unit holds Cs at (0.178, 0.000, 0.357), Rb at (0.000, 0.000, 0.000), Sn at (0.100, 0.500, 0.201), I at (0.000, 0.500, 0.000), I at (0.155, 0.250, 0.809) and I at (0.198, 0.500, 0.398).

The value obtained for the formation energy (no corrections) is -1179 kJ/mol of formula units.

[4]
Entry from Alexandria: an optimized crystal structure of Ni2SbI (PBE-GGA).

It has space group Fm-3m (No. 225), with a = 6.662 Å, b = 6.662 Å, c = 6.662 Å, α = 90.00°, β = 90.00° and γ = 90.00°. The asymmetric unit holds Ni at (0.250, 0.250, 0.250), Sb at (0.000, 0.000, 0.000) and I at (0.000, 0.000, 0.500).

The value obtained for the energy relative to the lowest polymorph listed for this composition is 357 meV/atom. The value obtained for the formation energy (no corrections) is 206 kJ/mol of formula units. For the density of states at the Fermi level, the calculation gives 15.769 states/eV per cell.

[5]
Entry from Alexandria: an optimized crystal structure of PrNdPt2 (PBE-GGA).

It has space group R3m (No. 160, hexagonal axes), with a = 4.1548 Å, b = 4.1548 Å, c = 21.4825 Å, α = 90.00°, β = 90.00° and γ = 120.00°. The asymmetric unit holds Pr at (0.0000, 0.0000, 0.0000), Nd at (0.0000, 0.0000, 0.1723), Pt at (0.0000, 0.0000, 0.5861) and Pt at (0.0000, 0.0000, 0.7523).

The calculation puts the formation energy at -979 meV/atom. The value obtained for the energy relative to the lowest polymorph listed for this composition is 156 meV/atom. For the density of states at the Fermi level, the calculation gives 6.319 states/eV per cell.

[6]
Entry from Alexandria: an optimized crystal structure of Bi3Pd6Au (PBE-GGA).

It has space group Cmc2_1 (No. 36), with a = 10.717 Å, b = 14.043 Å, c = 5.258 Å, α = 90.00°, β = 90.00° and γ = 90.00°. The asymmetric unit holds Bi at (0.000, 0.127, 0.000), Bi at (0.190, 0.395, 0.700), Pd at (0.000, 0.234, 0.533), Pd at (0.000, 0.477, 0.400), Pd at (0.133, 0.046, 0.555), Pd at (0.245, 0.296, 0.249) and Au at (0.000, 0.331, 0.067).

The calculation puts the formation energy at -154 meV/atom. The value obtained for the energy relative to the lowest polymorph listed for this composition is 15 meV/atom. For the density of states at the Fermi level, the calculation gives 21.092 states/eV per cell.

[7]
Entry from Alexandria: an optimized crystal structure of Tm12Th7Zr (PBE-GGA).

It has space group R-3 (No. 148, hexagonal axes), with a = 12.0363 Å, b = 12.0363 Å, c = 15.2401 Å, α = 90.00°, β = 90.00° and γ = 120.00°. The asymmetric unit holds Tm at (0.0176, 0.4394, 0.2047), Tm at (0.0376, 0.1852, 0.3079), Th at (0.0000, 0.0000, 0.5000), Th at (0.0711, 0.5908, 0.5859) and Zr at (0.0000, 0.0000, 0.0000).

The calculation puts the formation energy at 251 meV/atom. For the density of states at the Fermi level, the calculation gives 101.613 states/eV per cell.

[8]
Entry from Alexandria: an optimized crystal structure of NaTcO2F (PBE-GGA).

It has space group P4/mmm (No. 123), with a = 4.064 Å, b = 4.064 Å, c = 3.862 Å, α = 90.00°, β = 90.00° and γ = 90.00°. The asymmetric unit holds Na at (0.000, 0.000, 0.000), Tc at (0.500, 0.500, 0.500), O at (0.000, 0.500, 0.000) and F at (0.000, 0.000, 0.500).

The value obtained for the formation energy (no corrections) is 53 kJ/mol of formula units. For the density of states at the Fermi level, the calculation gives 3.512 states/eV per cell.

Summary of calculated total energy in eV per atom
-7.97 -5.87 -2.81 -3.78 -6.39 -4.76 -5.46 -4.59
(order as listed above)
Summary of magnetization in μB per formula unit
0.00 1.16 0.00 0.00 0.00 0.00 0.00 3.00
(order as listed above)